1) The following is a DFT calculation (GGA-PBE) of Zr2TlFeSe after structural relaxation.

```
data_Zr2TlFeSe
_space_group_name_H-M_alt 'P 4/m m m'
_space_group_IT_number 123
_space_group_name_Hall '-P 4 2'
_cell_length_a 5.072
_cell_length_b 5.072
_cell_length_c 4.358
_cell_angle_alpha 90.00
_cell_angle_beta 90.00
_cell_angle_gamma 90.00
loop_
_atom_site_label
_atom_site_fract_x
_atom_site_fract_y
_atom_site_fract_z
Zr1 0.000 0.500 0.000
Tl1 0.000 0.000 0.500
Fe1 0.500 0.500 0.500
Se1 0.500 0.500 0.000
```

## Properties
As for the density of states at the Fermi level: 5.989 states/eV/cell. The calculated volume is 112 Å³/cell. The value obtained for the size of the total moment is 0.4156 μB per atom.

2) The following is a DFT calculation (GGA-PBE) of Zr2TlFeSe after structural relaxation.

```
data_Zr2TlFeSe
_space_group_name_H-M_alt 'P 4/m m m'
_space_group_IT_number 123
_space_group_name_Hall '-P 4 2'
_cell_length_a 5.405
_cell_length_b 5.405
_cell_length_c 5.224
_cell_angle_alpha 90.00
_cell_angle_beta 90.00
_cell_angle_gamma 90.00
loop_
_atom_site_label
_atom_site_fract_x
_atom_site_fract_y
_atom_site_fract_z
Zr1 0.000 0.500 0.000
Tl1 0.000 0.000 0.000
Fe1 0.500 0.500 0.500
Se1 0.000 0.000 0.500
```

## Properties
As for the density of states at the Fermi level: 8.303 states/eV/cell. The calculated volume is 153 Å³/cell. The value obtained for the size of the total moment is 0.4083 μB per atom.

Energy comparison, zero being the most stable, in eV/atom: 1) 0.000; 2) 1.479.